Entry 1:
TcNiBr: single point on PBEsol structure, meta-GGA SCAN.

Calculated values
Space-group type: P3m1 (156)
N(E_F) in states/eV/atom: 0.72
Theoretical density in Mg/m³: 8.92
E_form (uncorrected) in eV/atom: 0.671
E in eV for the cell shown: -68.7

```
TcNiBr
1.0
2.9446 0.0000 0.0000
-1.4723 2.5501 0.0000
0.0000 0.0000 5.8646
Tc Ni Br
1 1 1
direct
0.0000 0.0000 0.0000
0.6667 0.3333 0.3112
0.3333 0.6667 0.6587
```

***

Entry 2:
NiTe2Br: single point on PBEsol structure, meta-GGA SCAN.

Calculated values
Space-group type: P2/m (10)
N(E_F) in states/eV/atom: 0.35
Theoretical density in Mg/m³: 6.81
E_form (uncorrected) in eV/atom: -0.209
E in eV for the cell shown: -111.0

```
NiTe2Br
1.0
5.0388 0.0000 0.0000
0.0000 3.8471 0.0000
-2.1220 0.0000 4.9545
Ni Te Br
1 2 1
direct
0.0000 0.0000 0.0000
0.3431 0.5000 0.1682
0.6569 0.5000 0.8318
0.0000 0.0000 0.5000
```

***

Entry 3:
NiTeBr: single point on PBEsol structure, meta-GGA SCAN.

Calculated values
Space-group type: P3m1 (156)
N(E_F) in states/eV/atom: 0.80
Theoretical density in Mg/m³: 6.65
E_form (uncorrected) in eV/atom: -0.254
E in eV for the cell shown: -73.6

```
NiTeBr
1.0
3.5578 0.0000 0.0000
-1.7789 3.0812 0.0000
0.0000 0.0000 6.0624
Ni Te Br
1 1 1
direct
0.0000 0.0000 0.0000
0.3333 0.6667 0.7554
0.6667 0.3333 0.2332
```

***

Entry 4:
NiTeBr: single point on PBEsol structure, meta-GGA SCAN.

Calculated values
Space-group type: I4mm (107)
N(E_F) in states/eV/atom: 0.90
Theoretical density in Mg/m³: 7.19
E_form (uncorrected) in eV/atom: 0.182
E in eV for the cell shown: -72.3

```
NiTeBr
1.0
-1.6330 1.6330 5.7628
1.6330 -1.6330 5.7628
1.6330 1.6330 -5.7628
Ni Te Br
1 1 1
direct
0.0000 0.0000 0.0000
0.3907 0.3907 0.0000
0.6591 0.6591 0.0000
```

***

Entry 5:
Ni2Te2Br: single point on PBEsol structure, meta-GGA SCAN.

Calculated values
Space-group type: I4/mmm (139)
N(E_F) in states/eV/atom: 1.07
Theoretical density in Mg/m³: 7.25
E_form (uncorrected) in eV/atom: -0.203
E in eV for the cell shown: -127.3

```
Ni2Te2Br
1.0
-1.8354 1.8354 7.6871
1.8354 -1.8354 7.6871
1.8354 1.8354 -7.6871
Ni Te Br
2 2 1
direct
0.2500 0.7500 0.5000
0.7500 0.2500 0.5000
0.1400 0.1400 0.0000
0.8600 0.8600 0.0000
0.5000 0.5000 0.0000
```

***

Entry 6:
NiTe2Br: single point on PBEsol structure, meta-GGA SCAN.

Calculated values
Space-group type: R-3m (166)
N(E_F) in states/eV/atom: 0.40
Theoretical density in Mg/m³: 7.07
E_form (uncorrected) in eV/atom: -0.316
E in eV for the cell shown: -111.4

```
NiTe2Br
1.0
1.9171 1.1068 7.2618
-1.9171 1.1068 7.2618
0.0000 -2.2136 7.2618
Ni Te Br
1 2 1
direct
0.0000 0.0000 0.0000
0.2761 0.2761 0.2761
0.7239 0.7239 0.7239
0.5000 0.5000 0.5000
```

***

Entry 7:
NiTeBr: single point on PBEsol structure, meta-GGA SCAN.

Calculated values
Space-group type: F-43m (216)
N(E_F) in states/eV/atom: 0.79
Theoretical density in Mg/m³: 6.72
E_form (uncorrected) in eV/atom: 0.409
E in eV for the cell shown: -71.7

```
NiTeBr
1.0
0.0000 3.2035 3.2035
3.2035 0.0000 3.2035
3.2035 3.2035 0.0000
Ni Te Br
1 1 1
direct
0.0000 0.0000 0.0000
0.7500 0.7500 0.7500
0.2500 0.2500 0.2500
```

***

Entry 8:
NiTe2Br: single point on PBEsol structure, meta-GGA SCAN.

Calculated values
Space-group type: Pm (6)
N(E_F) in states/eV/atom: 0.65
Theoretical density in Mg/m³: 6.23
E_form (uncorrected) in eV/atom: -0.060
E in eV for the cell shown: -110.4

```
NiTe2Br
1.0
4.8573 0.0000 0.0000
0.0000 3.5034 0.0000
-2.4028 0.0000 6.1712
Ni Te Br
1 2 1
direct
0.0000 0.0000 0.0000
0.3906 0.0000 0.3649
0.7949 0.5000 0.1707
0.0601 0.5000 0.7739
```